Record 1
Computed, not measured: a geometry-optimized TiRe2Ru structure at the PBE-GGA level of DFT.

Calculated values
Crystal system = cubic
Energy relative to the lowest polymorph listed for this composition = 0 meV per atom
Space group = Fm-3m (225)

Cell: 6.199 6.199 6.199 Å, 90.00 90.00 90.00°
Sites, in units of the cell vectors:
Ti  0.000  0.000  0.000
Ti  0.000  0.500  0.500
Ti  0.500  0.000  0.500
Ti  0.500  0.500  0.000
Re  0.250  0.250  0.250
Re  0.250  0.250  0.750
Re  0.250  0.750  0.250
Re  0.250  0.750  0.750
Re  0.750  0.250  0.250
Re  0.750  0.250  0.750
Re  0.750  0.750  0.250
Re  0.750  0.750  0.750
Ru  0.000  0.000  0.500
Ru  0.000  0.500  0.000
Ru  0.500  0.000  0.000
Ru  0.500  0.500  0.500



Record 2
Computed, not measured: a geometry-optimized Ti3ReRu structure at the PBE-GGA level of DFT.

Calculated values
Crystal system = cubic
Energy relative to the lowest polymorph listed for this composition = 0 meV per atom
Space group = Pm-3m (221)

Cell: 4.563 4.563 4.563 Å, 90.00 90.00 90.00°
Sites, in units of the cell vectors:
Ti  0.000  0.000  0.500
Ti  0.000  0.500  0.000
Ti  0.500  0.000  0.000
Re  0.500  0.500  0.500
Ru  0.000  0.000  0.000



Record 3
Computed, not measured: a geometry-optimized ZrTiReRu structure at the PBE-GGA level of DFT.

Calculated values
Crystal system = cubic
Space group = F-43m (216)

Cell: 6.395 6.395 6.395 Å, 90.00 90.00 90.00°
Sites, in units of the cell vectors:
Zr  0.000  0.000  0.000
Zr  0.000  0.500  0.500
Zr  0.500  0.000  0.500
Zr  0.500  0.500  0.000
Ti  0.000  0.000  0.500
Ti  0.000  0.500  0.000
Ti  0.500  0.000  0.000
Ti  0.500  0.500  0.500
Re  0.250  0.250  0.250
Re  0.250  0.750  0.750
Re  0.750  0.250  0.750
Re  0.750  0.750  0.250
Ru  0.250  0.250  0.750
Ru  0.250  0.750  0.250
Ru  0.750  0.250  0.250
Ru  0.750  0.750  0.750



Record 4
Computed, not measured: a geometry-optimized TlReRu structure at the PBE-GGA level of DFT.

Calculated values
Crystal system = trigonal
Space group = P3m1 (156)

Cell: 2.905 2.905 7.109 Å, 90.00 90.00 120.00°
Sites, in units of the cell vectors:
Tl  0.000  0.000  0.000
Re  0.333  0.667  0.366
Ru  0.667  0.333  0.645



Record 5
Computed, not measured: a geometry-optimized Tl3ReRu structure at the PBE-GGA level of DFT.

Calculated values
Crystal system = cubic
Energy relative to the lowest polymorph listed for this composition = 0 meV per atom
Space group = Pm-3m (221)

Cell: 5.240 5.240 5.240 Å, 90.00 90.00 90.00°
Sites, in units of the cell vectors:
Tl  0.000  0.000  0.500
Tl  0.000  0.500  0.000
Tl  0.500  0.000  0.000
Re  0.500  0.500  0.500
Ru  0.000  0.000  0.000



Record 6
Computed, not measured: a geometry-optimized TlRe2Ru structure at the PBE-GGA level of DFT.

Calculated values
Crystal system = trigonal
Energy relative to the lowest polymorph listed for this composition = 153 meV per atom
Space group = R-3m (166)

Cell: 2.857 2.857 28.099 Å, 90.00 90.00 120.00°
Sites, in units of the cell vectors:
Tl  0.000  0.000  0.000
Tl  0.333  0.667  0.667
Tl  0.667  0.333  0.333
Re  0.000  0.000  0.242
Re  0.000  0.000  0.758
Re  0.333  0.667  0.425
Re  0.333  0.667  0.908
Re  0.667  0.333  0.092
Re  0.667  0.333  0.575
Ru  0.000  0.000  0.500
Ru  0.333  0.667  0.167
Ru  0.667  0.333  0.833



Calculated formation energy from the elements in order - 55 865 -454 588 1460 617 meV/atom